[1]
Material: PtSe
Method: DFT, PBE
State: relaxed

abc: 3.807 3.807 7.215
angles: 90.00 90.00 120.00
Element x y z (fractional)
Pt 0.333 0.667 0.714
Pt 0.667 0.333 0.214
Se 0.333 0.667 0.368
Se 0.667 0.333 0.868

- raw formation energy (eV/atom) = 0.00
- VASP energy (eV/atom) = -4.7580

***

[2]
Material: PtSe3
Method: DFT, PBE
State: relaxed

abc: 2.895 2.895 10.007
angles: 90.00 90.00 90.00
Element x y z (fractional)
Pt 0.000 0.000 0.000
Se 0.500 0.500 0.811
Se 0.000 0.000 0.500
Se 0.500 0.500 0.189

- raw formation energy (eV/atom) = 0.36
- VASP energy (eV/atom) = -3.7611

***

[3]
Material: Pt4Se5
Method: DFT, PBE
State: relaxed

abc: 7.395 7.395 7.291
angles: 90.00 90.00 120.00
Element x y z (fractional)
Se 0.000 0.758 0.250
Se 0.242 0.242 0.250
Se 0.758 0.000 0.250
Se 0.000 0.242 0.750
Se 0.758 0.758 0.750
Se 0.242 0.000 0.750
Se 0.667 0.333 0.000
Se 0.333 0.667 0.500
Se 0.333 0.667 0.000
Se 0.667 0.333 0.500
Pt 0.000 0.000 0.000
Pt 0.000 0.000 0.500
Pt 0.000 0.422 0.250
Pt 0.578 0.578 0.250
Pt 0.422 0.000 0.250
Pt 0.000 0.578 0.750
Pt 0.422 0.422 0.750
Pt 0.578 0.000 0.750

- raw formation energy (eV/atom) = 0.11
- VASP energy (eV/atom) = -4.5148

***

no.,calculated density (g cm⁻³)
1,10.05
2,8.55
3,11.30